No. 1
The following is a PBE-GGA calculation of a relaxed structure of Sr2LaAg, from the Alexandria database.

```
Sr2LaAg
1.0
4.568 0.000 0.000
0.000 5.644 0.000
0.000 0.000 5.707
Sr La Ag
2 1 1
Cartesian
0.000 0.000 0.000 Sr
2.284 2.822 0.000 Sr
0.000 2.822 2.854 La
2.284 0.000 2.854 Ag
```

Electronic total energy in eV/atom: -2.664
Energy relative to the elements in eV/atom: 0.1215
Total magnetic moment in μB per formula unit: 0.000
DOS at the Fermi energy in states/eV per cell: 5.33
Volume in Å³ per cell: 147.13
Symmetry: No. 47
E above lowest polymorph in eV/f.u.: 0.80

***

No. 2
The following is a PBE-GGA calculation of a relaxed structure of SrLa2Ag, from the Alexandria database.

```
SrLa2Ag
1.0
6.599 -1.996 0.000
6.599 1.996 0.000
-2.616 0.000 5.271
Sr La Ag
1 2 1
Cartesian
0.000 0.000 0.000 Sr
0.884 0.000 3.709 La
4.499 0.000 2.244 La
8.915 0.000 1.104 Ag
```

Electronic total energy in eV/atom: -3.583
Energy relative to the elements in eV/atom: 0.0139
Total magnetic moment in μB per formula unit: 0.002
DOS at the Fermi energy in states/eV per cell: 5.96
Volume in Å³ per cell: 138.84
Symmetry: No. 8
E above lowest polymorph in eV/f.u.: 0.42

***

No. 3
The following is a PBE-GGA calculation of a relaxed structure of SrLa2Ag6, from the Alexandria database.

```
SrLa2Ag6
1.0
8.422 0.000 0.000
-4.211 7.294 0.000
0.000 0.000 3.748
Sr La Ag
1 2 6
Cartesian
0.000 0.000 0.000 Sr
0.000 4.863 0.000 La
4.211 2.431 0.000 La
-1.409 2.440 1.874 Ag
-2.803 4.854 1.874 Ag
2.817 0.000 1.874 Ag
1.409 2.440 1.874 Ag
5.605 0.000 1.874 Ag
2.803 4.854 1.874 Ag
```

Electronic total energy in eV/atom: -3.459
Energy relative to the elements in eV/atom: -0.2760
Total magnetic moment in μB per formula unit: 0.001
DOS at the Fermi energy in states/eV per cell: 6.66
Volume in Å³ per cell: 230.28
Symmetry: No. 191

***

No. 4
The following is a PBE-GGA calculation of a relaxed structure of Sr2LaAg, from the Alexandria database.

```
Sr2LaAg
1.0
3.939 0.000 0.000
0.000 3.939 0.000
0.000 0.000 10.126
Sr La Ag
2 1 1
Cartesian
0.000 0.000 0.000 Sr
1.969 1.969 3.362 Sr
1.969 1.969 7.080 La
0.000 0.000 5.375 Ag
```

Electronic total energy in eV/atom: -2.865
Energy relative to the elements in eV/atom: -0.0797
Total magnetic moment in μB per formula unit: 0.318
DOS at the Fermi energy in states/eV per cell: 5.38
Volume in Å³ per cell: 157.09
Symmetry: No. 99
E above lowest polymorph in eV/f.u.: 0.00

***

No. 5
The following is a PBE-GGA calculation of a relaxed structure of SrLa2Ag, from the Alexandria database.

```
SrLa2Ag
1.0
-2.485 2.485 5.435
2.485 -2.485 5.435
2.485 2.485 -5.435
Sr La Ag
1 2 1
Cartesian
0.000 0.000 0.000 Sr
0.000 0.000 5.435 La
0.000 2.485 2.717 La
2.485 0.000 2.717 Ag
```

Electronic total energy in eV/atom: -3.452
Energy relative to the elements in eV/atom: 0.1447
Total magnetic moment in μB per formula unit: 0.018
DOS at the Fermi energy in states/eV per cell: 6.88
Volume in Å³ per cell: 134.29
Symmetry: No. 119
E above lowest polymorph in eV/f.u.: 0.95

***

No. 6
The following is a PBE-GGA calculation of a relaxed structure of Sr2LaAg, from the Alexandria database.

```
Sr2LaAg
1.0
7.144 -1.987 0.000
7.144 1.987 0.000
-2.443 0.000 5.387
Sr La Ag
2 1 1
Cartesian
2.310 0.000 1.051 Sr
9.534 0.000 4.336 Sr
-1.221 0.000 2.694 La
7.144 0.000 0.000 Ag
```

Electronic total energy in eV/atom: -2.770
Energy relative to the elements in eV/atom: 0.0155
Total magnetic moment in μB per formula unit: 0.201
DOS at the Fermi energy in states/eV per cell: 4.14
Volume in Å³ per cell: 152.91
Symmetry: No. 12
E above lowest polymorph in eV/f.u.: 0.38

***

No. 7
The following is a PBE-GGA calculation of a relaxed structure of Sr2LaAg, from the Alexandria database.

```
Sr2LaAg
1.0
-2.522 2.522 5.810
2.522 -2.522 5.810
2.522 2.522 -5.810
Sr La Ag
2 1 1
Cartesian
0.000 0.000 0.000 Sr
0.000 2.522 2.905 Sr
0.000 0.000 5.810 La
2.522 0.000 2.905 Ag
```

Electronic total energy in eV/atom: -2.625
Energy relative to the elements in eV/atom: 0.1610
Total magnetic moment in μB per formula unit: 0.011
DOS at the Fermi energy in states/eV per cell: 5.89
Volume in Å³ per cell: 147.84
Symmetry: No. 119
E above lowest polymorph in eV/f.u.: 0.96

***

No. 8
The following is a PBE-GGA calculation of a relaxed structure of SrLa2Ag4, from the Alexandria database.

```
SrLa2Ag4
1.0
2.639 1.524 8.800
-2.639 1.524 8.800
0.000 -3.047 8.800
Sr La Ag
1 2 4
Cartesian
0.000 0.000 0.000 Sr
0.000 0.000 6.287 La
0.000 0.000 20.113 La
0.000 0.000 3.163 Ag
0.000 0.000 10.194 Ag
0.000 0.000 16.207 Ag
0.000 0.000 23.237 Ag
```

Electronic total energy in eV/atom: -3.331
Energy relative to the elements in eV/atom: -0.0533
Total magnetic moment in μB per formula unit: 0.001
DOS at the Fermi energy in states/eV per cell: 7.59
Volume in Å³ per cell: 212.32
Symmetry: No. 166

***

No. 9
The following is a PBE-GGA calculation of a relaxed structure of SrLa2Ag, from the Alexandria database.

```
SrLa2Ag
1.0
4.845 0.000 0.000
0.000 4.845 0.000
0.000 0.000 5.808
Sr La Ag
1 2 1
Cartesian
0.000 0.000 0.000 Sr
0.000 2.422 2.904 La
2.422 0.000 2.904 La
2.422 2.422 0.000 Ag
```

Electronic total energy in eV/atom: -3.512
Energy relative to the elements in eV/atom: 0.0847
Total magnetic moment in μB per formula unit: 0.002
DOS at the Fermi energy in states/eV per cell: 5.22
Volume in Å³ per cell: 136.33
Symmetry: No. 123
E above lowest polymorph in eV/f.u.: 0.71

***

No. 10
The following is a PBE-GGA calculation of a relaxed structure of Sr2LaAg, from the Alexandria database.

```
Sr2LaAg
1.0
4.077 -4.111 0.000
4.077 4.111 0.000
0.000 0.000 4.396
Sr La Ag
2 1 1
Cartesian
2.038 2.056 0.000 Sr
2.038 -2.056 0.000 Sr
0.000 0.000 2.198 La
4.077 0.000 2.198 Ag
```

Electronic total energy in eV/atom: -2.664
Energy relative to the elements in eV/atom: 0.1216
Total magnetic moment in μB per formula unit: 0.000
DOS at the Fermi energy in states/eV per cell: 2.86
Volume in Å³ per cell: 147.35
Symmetry: No. 65
E above lowest polymorph in eV/f.u.: 0.81

***

No. 11
The following is a PBE-GGA calculation of a relaxed structure of SrLa2Ag, from the Alexandria database.

```
SrLa2Ag
1.0
3.928 0.000 0.000
0.000 5.671 0.000
0.000 0.000 6.058
Sr La Ag
1 2 1
Cartesian
0.000 0.000 0.000 Sr
0.000 2.836 3.029 La
1.964 0.000 3.029 La
1.964 2.836 0.000 Ag
```

Electronic total energy in eV/atom: -3.529
Energy relative to the elements in eV/atom: 0.0684
Total magnetic moment in μB per formula unit: 0.003
DOS at the Fermi energy in states/eV per cell: 4.83
Volume in Å³ per cell: 134.95
Symmetry: No. 47
E above lowest polymorph in eV/f.u.: 0.64

***

No. 12
The following is a PBE-GGA calculation of a relaxed structure of SrLa2Ag, from the Alexandria database.

```
SrLa2Ag
1.0
5.499 0.000 0.000
0.000 5.499 0.000
0.000 0.000 4.487
Sr La Ag
1 2 1
Cartesian
0.000 0.000 0.000 Sr
0.000 2.749 2.244 La
2.749 0.000 2.244 La
2.749 2.749 0.000 Ag
```

Electronic total energy in eV/atom: -3.476
Energy relative to the elements in eV/atom: 0.1209
Total magnetic moment in μB per formula unit: 0.012
DOS at the Fermi energy in states/eV per cell: 3.95
Volume in Å³ per cell: 135.68
Symmetry: No. 123
E above lowest polymorph in eV/f.u.: 0.85